(1)
A relaxed structure of VP2S2. Source: Alexandria, functional PBE.

a b c (Å): 4.631 4.631 4.301
angles (deg): 90.00 90.00 90.00
Atoms (fractional coordinates):
V 0.000 0.000 0.000
P 0.000 0.500 0.000
P 0.500 0.000 0.000
S 0.000 0.000 0.500
S 0.500 0.500 0.500

## Properties
Distance to the lowest polymorph of the same formula, eV per formula unit: 0.00
Symmetry: P4/mmm (123)

(2)
A relaxed structure of V3P4S12. Source: Alexandria, functional PBE.

a b c (Å): 5.976 5.976 13.616
angles (deg): 94.18 94.18 120.73
Atoms (fractional coordinates):
V 0.000 0.000 0.000
V 0.504 0.496 0.500
V 0.849 0.151 0.500
P 0.147 0.795 0.419
P 0.205 0.853 0.581
P 0.649 0.293 0.919
P 0.707 0.351 0.081
S 0.028 0.712 0.120
S 0.137 0.125 0.385
S 0.215 0.523 0.615
S 0.288 0.972 0.880
S 0.365 0.315 0.119
S 0.477 0.785 0.385
S 0.560 0.208 0.612
S 0.685 0.635 0.881
S 0.757 0.051 0.119
S 0.792 0.440 0.388
S 0.875 0.863 0.615
S 0.949 0.243 0.881

## Properties
Symmetry: C2 (5)

(3)
A relaxed structure of VPS. Source: Alexandria, functional PBE.

a b c (Å): 12.863 2.980 6.983
angles (deg): 90.00 122.73 90.00
Atoms (fractional coordinates):
V 0.083 0.000 0.456
V 0.417 0.500 0.544
V 0.583 0.500 0.456
V 0.917 0.000 0.544
P 0.193 0.500 0.349
P 0.307 0.000 0.651
P 0.693 0.000 0.349
P 0.807 0.500 0.651
S 0.094 0.500 0.744
S 0.406 0.000 0.256
S 0.594 0.000 0.744
S 0.906 0.500 0.256

## Properties
Symmetry: C2/m (12)

(4)
A relaxed structure of VP2S8. Source: Alexandria, functional PBE.

a b c (Å): 7.171 7.171 5.634
angles (deg): 93.15 93.15 101.06
Atoms (fractional coordinates):
V 0.000 0.000 0.000
P 0.216 0.216 0.440
P 0.784 0.784 0.560
S 0.032 0.744 0.734
S 0.235 0.235 0.799
S 0.256 0.968 0.266
S 0.437 0.437 0.334
S 0.563 0.563 0.666
S 0.744 0.032 0.734
S 0.765 0.765 0.201
S 0.968 0.256 0.266

## Properties
Symmetry: C2/m (12)

(5)
A relaxed structure of VPS2. Source: Alexandria, functional PBE.

a b c (Å): 3.150 3.150 23.325
angles (deg): 90.00 90.00 120.00
Atoms (fractional coordinates):
V 0.000 0.000 0.000
V 0.333 0.667 0.667
V 0.667 0.333 0.333
P 0.000 0.000 0.500
P 0.333 0.667 0.167
P 0.667 0.333 0.833
S 0.000 0.000 0.397
S 0.000 0.000 0.603
S 0.333 0.667 0.063
S 0.333 0.667 0.270
S 0.667 0.333 0.730
S 0.667 0.333 0.937

## Properties
Symmetry: R-3m (166)

(6)
A relaxed structure of VPS3. Source: Alexandria, functional PBE.

a b c (Å): 4.566 4.566 4.566
angles (deg): 90.00 90.00 90.00
Atoms (fractional coordinates):
V 0.000 0.000 0.000
P 0.500 0.500 0.500
S 0.000 0.000 0.500
S 0.000 0.500 0.000
S 0.500 0.000 0.000

## Properties
Distance to the lowest polymorph of the same formula, eV per formula unit: 4.21
Symmetry: Pm-3m (221)

no.,total magnetization (Bohr magnetons per cell),V (A^3/atom),uncorrected formation energy (eV per atom)
1,0.00,18.45,0.45
2,5.56,21.76,-0.43
3,0.00,18.76,-0.53
4,0.98,25.75,-0.27
5,0.00,16.70,-0.30
6,1.84,19.04,0.37